1.
Material: BaAsAuSe2
Method: DFT, PBE
State: optimized geometry

abc: 6.1522 6.1522 6.3080
angles: 90.00 90.00 90.00
Sites, in units of the cell vectors:
Ba  0.0000  0.0000  0.0000
As  0.0000  0.0000  0.5000
Au  0.5000  0.5000  0.5000
Se  0.0000  0.5000  0.0000
Se  0.5000  0.0000  0.0000

Summary:
offset from the most stable computed form = 639 kJ/mol of formula units
formation energy (no corrections) = 874 meV/atom
DOS(E_F) = 8.347 states/eV/f.u.
space group = No. 123

2.
Material: BaAsAuSe2
Method: DFT, PBE
State: optimized geometry

abc: 5.3847 5.3847 4.9039
angles: 90.00 90.00 90.00
Sites, in units of the cell vectors:
Ba  0.0000  0.0000  0.0000
As  0.5000  0.5000  0.0000
Au  0.5000  0.5000  0.5000
Se  0.0000  0.5000  0.5000
Se  0.5000  0.0000  0.5000

Summary:
offset from the most stable computed form = 0 kJ/mol of formula units
formation energy (no corrections) = -450 meV/atom
DOS(E_F) = 3.704 states/eV/f.u.
space group = No. 123

3.
Material: BaAs2AuSe4
Method: DFT, PBE
State: optimized geometry

abc: 6.5440 6.5440 6.5440
angles: 114.38 112.38 101.91
Sites, in units of the cell vectors:
Ba  0.0000  0.0000  0.0000
As  0.1882  0.6882  0.5000
As  0.8118  0.3118  0.5000
Au  0.5000  0.5000  0.0000
Se  0.1259  0.5474  0.0382
Se  0.4908  0.4526  0.5785
Se  0.5092  0.0877  0.9618
Se  0.8741  0.9123  0.4215

Summary:
formation energy (no corrections) = -438 meV/atom
DOS(E_F) = 3.598 states/eV/f.u.
space group = No. 23

4.
Material: BaAsAu2Se4
Method: DFT, PBE
State: optimized geometry

abc: 6.7940 6.7940 6.7940
angles: 120.98 106.57 101.54
Sites, in units of the cell vectors:
Ba  0.0000  0.0000  0.0000
As  0.5000  0.5000  0.0000
Au  0.3232  0.8232  0.5000
Au  0.6768  0.1768  0.5000
Se  0.1407  0.1203  0.6137
Se  0.4935  0.8797  0.0204
Se  0.5065  0.5269  0.3863
Se  0.8593  0.4731  0.9796

Summary:
formation energy (no corrections) = -547 meV/atom
DOS(E_F) = 3.908 states/eV/f.u.
space group = No. 23

5.
Material: BaAs2AuSe
Method: DFT, PBE
State: optimized geometry

abc: 5.0883 5.0883 5.4342
angles: 90.00 90.00 90.00
Sites, in units of the cell vectors:
Ba  0.0000  0.0000  0.0000
As  0.0000  0.5000  0.5000
As  0.5000  0.0000  0.5000
Au  0.5000  0.5000  0.5000
Se  0.5000  0.5000  0.0000

Summary:
offset from the most stable computed form = 0 kJ/mol of formula units
formation energy (no corrections) = -235 meV/atom
DOS(E_F) = 4.470 states/eV/f.u.
space group = No. 123

6.
Material: BaAs2AuSe
Method: DFT, PBE
State: optimized geometry

abc: 6.4179 6.4179 6.0395
angles: 90.00 90.00 90.00
Sites, in units of the cell vectors:
Ba  0.0000  0.0000  0.0000
As  0.0000  0.5000  0.0000
As  0.5000  0.0000  0.0000
Au  0.5000  0.5000  0.5000
Se  0.0000  0.0000  0.5000

Summary:
offset from the most stable computed form = 663 kJ/mol of formula units
formation energy (no corrections) = 1140 meV/atom
DOS(E_F) = 6.244 states/eV/f.u.
space group = No. 123

7.
Material: BaSiAsAu2
Method: DFT, PBE
State: optimized geometry

abc: 4.8926 4.8926 5.2485
angles: 90.00 90.00 90.00
Sites, in units of the cell vectors:
Ba  0.0000  0.0000  0.0000
Si  0.5000  0.5000  0.5000
As  0.5000  0.5000  0.0000
Au  0.0000  0.5000  0.5000
Au  0.5000  0.0000  0.5000

Summary:
formation energy (no corrections) = -376 meV/atom
DOS(E_F) = 2.830 states/eV/f.u.
space group = No. 123

8.
Material: Ba2SiAsAu6
Method: DFT, PBE
State: optimized geometry

abc: 6.8207 6.8207 7.3106
angles: 117.05 117.05 60.12
Sites, in units of the cell vectors:
Ba  0.2196  0.2196  0.1590
Ba  0.7804  0.7804  0.8410
Si  0.0000  0.0000  0.5000
As  0.5000  0.5000  0.0000
Au  0.2435  0.2435  0.6820
Au  0.2427  0.6815  0.6706
Au  0.3185  0.7573  0.3294
Au  0.6815  0.2427  0.6706
Au  0.7573  0.3185  0.3294
Au  0.7565  0.7565  0.3180

Summary:
formation energy (no corrections) = -472 meV/atom
DOS(E_F) = 3.036 states/eV/f.u.
space group = No. 12

Copy entry 2 word for word.
Material: BaAsAuSe2
Method: DFT, PBE
State: optimized geometry

abc: 5.3847 5.3847 4.9039
angles: 90.00 90.00 90.00
Sites, in units of the cell vectors:
Ba  0.0000  0.0000  0.0000
As  0.5000  0.5000  0.0000
Au  0.5000  0.5000  0.5000
Se  0.0000  0.5000  0.5000
Se  0.5000  0.0000  0.5000

Summary:
offset from the most stable computed form = 0 kJ/mol of formula units
formation energy (no corrections) = -450 meV/atom
DOS(E_F) = 3.704 states/eV/f.u.
space group = No. 123

Repeat the sixth record exactly.
Material: BaAs2AuSe
Method: DFT, PBE
State: optimized geometry

abc: 6.4179 6.4179 6.0395
angles: 90.00 90.00 90.00
Sites, in units of the cell vectors:
Ba  0.0000  0.0000  0.0000
As  0.0000  0.5000  0.0000
As  0.5000  0.0000  0.0000
Au  0.5000  0.5000  0.5000
Se  0.0000  0.0000  0.5000

Summary:
offset from the most stable computed form = 663 kJ/mol of formula units
formation energy (no corrections) = 1140 meV/atom
DOS(E_F) = 6.244 states/eV/f.u.
space group = No. 123